# 1
Tl3ZnHg12 after structural relaxation. Source: Alexandria, functional GGA-PBE.

Results
The density of states at the Fermi level comes out at 0.34 states/eV per atom. The final energy is -0.74 eV per atom. The formation energy comes out at 0.012 eV/atom. As for the symmetry: P2/m.

Unit cell a=4.5080 b=4.5059 c=21.6052 alpha=90.00 beta=88.36 gamma=90.00
Last column: nearest neighbours and their distance in Å.
Element x y z (fractional)
Tl: 0.0008 0.0000 0.2364  8 Hg 3.19-3.56
Tl: 0.0000 0.0000 0.5000  6 Hg 3.19-3.53
Tl: 0.9992 0.0000 0.7636  8 Hg 3.19-3.56
Zn: 0.0000 0.0000 0.0000  12 Hg 3.19-3.36
Hg: 0.5000 0.5000 0.0000  4 Zn 3.19, 8 Hg 3.26-3.35
Hg: 0.4993 0.5000 0.2466  4 Tl 3.19, 4 Hg 3.46-3.55
Hg: 0.5000 0.5000 0.5000  4 Tl 3.19, 2 Hg 3.53
Hg: 0.5007 0.5000 0.7534  4 Tl 3.19, 4 Hg 3.46-3.55
Hg: 0.5023 0.0000 0.1118  6 Hg 3.17-3.30, 2 Zn 3.25-3.36, 1 Tl 3.47
Hg: 0.4994 0.0000 0.3709  6 Hg 3.18-3.50, 1 Tl 3.53
Hg: 0.5006 0.0000 0.6291  6 Hg 3.18-3.50, 1 Tl 3.53
Hg: 0.4977 0.0000 0.8882  6 Hg 3.17-3.30, 2 Zn 3.25-3.36, 1 Tl 3.47
Hg: 0.9984 0.5000 0.1119  6 Hg 3.17-3.35, 2 Zn 3.31, 2 Tl 3.51
Hg: 0.9983 0.5000 0.3710  7 Hg 3.18-3.55
Hg: 0.0017 0.5000 0.6290  7 Hg 3.18-3.55
Hg: 0.0016 0.5000 0.8881  6 Hg 3.17-3.35, 2 Zn 3.31, 2 Tl 3.51

---

# 2
Tl3ZnHg after structural relaxation. Source: Alexandria, functional GGA-PBE.

Results
The density of states at the Fermi level comes out at 0.38 states/eV per atom. The relative energy among the computed polymorphs comes out at 237 meV per atom. The final energy is -1.31 eV per atom. The formation energy comes out at 0.421 eV/atom. As for the symmetry: Pm-3m.

Unit cell a=5.7769 b=5.7769 c=5.7769 alpha=90.00 beta=90.00 gamma=90.00
Last column: nearest neighbours and their distance in Å.
Element x y z (fractional)
Zn: 0.5000 0.5000 0.5000  12 Tl 4.08
Tl: 0.0000 0.5000 0.0000  2 Hg 2.89
Tl: 0.0000 0.0000 0.5000  2 Hg 2.89
Tl: 0.5000 0.0000 0.0000  2 Hg 2.89
Hg: 0.0000 0.0000 0.0000  6 Tl 2.89

---

# 3
TlZnHg2 after structural relaxation. Source: Alexandria, functional GGA-PBE.

Results
The density of states at the Fermi level comes out at 0.29 states/eV per atom. The final energy is -0.96 eV per atom. The formation energy comes out at 0.098 eV/atom. As for the symmetry: P4/mmm.

Unit cell a=4.9503 b=4.9503 c=4.1732 alpha=90.00 beta=90.00 gamma=90.00
Last column: nearest neighbours and their distance in Å.
Element x y z (fractional)
Hg: 0.0000 0.0000 0.0000  4 Tl 3.24, 4 Zn 3.24, 4 Hg 3.50
Hg: 0.5000 0.5000 0.0000  4 Tl 3.24, 4 Zn 3.24, 4 Hg 3.50
Tl: 0.5000 0.0000 0.5000  8 Hg 3.24, 4 Zn 3.50
Zn: 0.0000 0.5000 0.5000  8 Hg 3.24, 4 Tl 3.50

---

# 4
Tl7ZnHg12 after structural relaxation. Source: Alexandria, functional GGA-PBE.

Results
The density of states at the Fermi level comes out at 0.40 states/eV per atom. The final energy is -1.07 eV per atom. The formation energy comes out at 0.003 eV/atom. As for the symmetry: R-3.

Unit cell a=8.7381 b=9.0539 c=9.0539 alpha=69.83 beta=71.23 gamma=108.77
Last column: nearest neighbours and their distance in Å.
Element x y z (fractional)
Tl: 0.8718 0.2866 0.2144  8 Hg 3.24-3.54
Tl: 0.9138 0.7856 0.5010  8 Hg 3.24-3.54
Tl: 0.4148 0.5010 0.7134  8 Hg 3.24-3.54
Tl: 0.5000 0.0000 0.0000  12 Hg 3.41-3.45
Tl: 0.5852 0.4990 0.2866  8 Hg 3.24-3.54
Tl: 0.0862 0.2144 0.4990  8 Hg 3.24-3.54
Tl: 0.1282 0.7134 0.7856  8 Hg 3.24-3.54
Zn: 0.0000 0.0000 0.0000  6 Hg 2.82
Hg: 0.6594 0.4260 0.9362  6 Hg 3.17-3.51, 5 Tl 3.36-3.54
Hg: 0.4043 0.0638 0.3622  6 Hg 3.17-3.51, 5 Tl 3.36-3.54
Hg: 0.2099 0.1673 0.1318  1 Zn 2.82
Hg: 0.6583 0.8682 0.2992  1 Zn 2.82
Hg: 0.7666 0.3622 0.5740  6 Hg 3.17-3.51, 5 Tl 3.36-3.54
Hg: 0.9575 0.2992 0.8327  1 Zn 2.82
Hg: 0.0425 0.7008 0.1673  1 Zn 2.82
Hg: 0.2334 0.6378 0.4260  6 Hg 3.17-3.51, 5 Tl 3.36-3.54
Hg: 0.3417 0.1318 0.7008  1 Zn 2.82
Hg: 0.7901 0.8327 0.8682  1 Zn 2.82
Hg: 0.5957 0.9362 0.6378  6 Hg 3.17-3.51, 5 Tl 3.36-3.54
Hg: 0.3406 0.5740 0.0638  6 Hg 3.17-3.51, 5 Tl 3.36-3.54

---

> What is the formula in the third record?

TlZnHg2

---

> The highest final energy belongs to which entry?

Tl3ZnHg12

---

Copy entry 1 word for word.
Tl3ZnHg12 after structural relaxation. Source: Alexandria, functional GGA-PBE.

Results
The density of states at the Fermi level comes out at 0.34 states/eV per atom. The final energy is -0.74 eV per atom. The formation energy comes out at 0.012 eV/atom. As for the symmetry: P2/m.

Unit cell a=4.5080 b=4.5059 c=21.6052 alpha=90.00 beta=88.36 gamma=90.00
Last column: nearest neighbours and their distance in Å.
Element x y z (fractional)
Tl: 0.0008 0.0000 0.2364  8 Hg 3.19-3.56
Tl: 0.0000 0.0000 0.5000  6 Hg 3.19-3.53
Tl: 0.9992 0.0000 0.7636  8 Hg 3.19-3.56
Zn: 0.0000 0.0000 0.0000  12 Hg 3.19-3.36
Hg: 0.5000 0.5000 0.0000  4 Zn 3.19, 8 Hg 3.26-3.35
Hg: 0.4993 0.5000 0.2466  4 Tl 3.19, 4 Hg 3.46-3.55
Hg: 0.5000 0.5000 0.5000  4 Tl 3.19, 2 Hg 3.53
Hg: 0.5007 0.5000 0.7534  4 Tl 3.19, 4 Hg 3.46-3.55
Hg: 0.5023 0.0000 0.1118  6 Hg 3.17-3.30, 2 Zn 3.25-3.36, 1 Tl 3.47
Hg: 0.4994 0.0000 0.3709  6 Hg 3.18-3.50, 1 Tl 3.53
Hg: 0.5006 0.0000 0.6291  6 Hg 3.18-3.50, 1 Tl 3.53
Hg: 0.4977 0.0000 0.8882  6 Hg 3.17-3.30, 2 Zn 3.25-3.36, 1 Tl 3.47
Hg: 0.9984 0.5000 0.1119  6 Hg 3.17-3.35, 2 Zn 3.31, 2 Tl 3.51
Hg: 0.9983 0.5000 0.3710  7 Hg 3.18-3.55
Hg: 0.0017 0.5000 0.6290  7 Hg 3.18-3.55
Hg: 0.0016 0.5000 0.8881  6 Hg 3.17-3.35, 2 Zn 3.31, 2 Tl 3.51

---

> The lowest formation energy belongs to which entry?

Tl7ZnHg12